Crystalline Li5CeCd7 at its relaxed geometry, computed with PBE-GGA.

* E_tot: -0.138 Ry per atom
* calculated volume: 20.3 Å³/atom
* density of states at the Fermi level: 1.01 states/eV/atom

Cell: 5.260 7.558 7.558 Å, 83.04 69.64 69.64°
Site moments in Bohr magnetons follow the coordinates.
Fractional coordinates of all 13 atoms:
Cd (0.342, 0.658, 0.658)  0.00
Cd (0.506, 0.199, 0.789)  0.00
Cd (0.995, 0.655, 0.354)  0.00
Cd (0.647, 0.353, 0.353)  0.00
Cd (0.285, 0.215, 0.215)  0.00
Cd (0.506, 0.789, 0.199)  0.00
Cd (0.995, 0.354, 0.655)  0.00
Li (0.725, 0.775, 0.775)  0.00
Li (0.498, 0.500, 0.000)  0.00
Li (0.498, 0.000, 0.500)  0.00
Li (0.002, 0.500, 0.000)  0.00
Li (0.002, 0.000, 0.500)  0.00
Ce (0.997, 0.003, 0.003)  0.89

Crystalline MgRuS2Cl at its relaxed geometry, computed with PBE-GGA.

* calculated volume: 20.8 Å³/atom
* density of states at the Fermi level: 0.99 states/eV/atom
* raw formation energy: -0.39 eV/f.u.

Cell: 4.612 4.612 4.890 Å, 90.00 90.00 90.00°
Fractional coordinates of all 5 atoms:
Ru (0.000, 0.000, 0.000)
Mg (0.500, 0.500, 0.500)
S (0.000, 0.500, 0.000)
S (0.500, 0.000, 0.000)
Cl (0.000, 0.000, 0.500)

Crystalline CeSmMgIr at its relaxed geometry, computed with PBE-GGA.

* E_tot: -0.409 Ry per atom
* calculated volume: 23.7 Å³/atom
* density of states at the Fermi level: 1.54 states/eV/atom

Cell: 5.118 5.118 5.118 Å, 60.00 60.00 60.00°
Site moments in Bohr magnetons follow the coordinates.
Fractional coordinates of all 4 atoms:
Mg (0.750, 0.750, 0.750)  0.00
Ir (0.250, 0.250, 0.250)  -0.04
Sm (0.000, 0.000, 0.000)  0.02
Ce (0.500, 0.500, 0.500)  0.53

Crystalline Co2TcBr at its relaxed geometry, computed with PBE-GGA.

* calculated volume: 14.2 Å³/atom
* density of states at the Fermi level: 1.25 states/eV/atom
* raw formation energy: 2.45 eV/f.u.

Cell: 2.827 2.827 7.103 Å, 90.00 90.00 90.00°
Site moments in Bohr magnetons follow the coordinates.
Fractional coordinates of all 4 atoms:
Br (0.500, 0.500, 0.750)  0.09
Tc (0.500, 0.500, 0.250)  -0.03
Co (0.000, 0.000, 0.482)  0.91
Co (0.000, 0.000, 0.018)  0.91